Material: SrNiTe2
Method: DFT, GGA-PBEsol
State: optimized geometry

Computed properties:
Fermi-level density of states in states/eV/atom: 0.42
Energy relative to the elements, uncorrected in eV/atom: -0.394
VASP energy in eV/atom: -4.1565

POSCAR file:
```
SrNiTe2
1.0
-1.5407 3.5440 -1.2249
-2.0942 -2.2996 2.6889
3.5751 3.5725 5.8396
Sr Te Ni
1 2 1
Cartesian
-0.7703 1.7720 -0.6124
1.0821 1.0813 1.7674
2.4931 2.4912 4.0722
1.0172 3.5583 2.3073
```